DFT (PBE) results for a geometry-optimized NaGa2Ag2 structure.

The space group is I4/mmm (No. 139) and the conventional cell measures 4.7370, 4.7370 and 9.6907 Å, with angles of 90.00, 90.00 and 90.00 degrees. The distinct sites, in fractional coordinates, are Na at (0.0000, 0.0000, 0.0000), Ga at (0.0000, 0.0000, 0.3699) and Ag at (0.0000, 0.5000, 0.2500).

Its energy of formation from the pure elements is -0.3 eV per formula unit. For the energy above the most stable polymorph in this dataset, the calculation gives 0.09 eV per formula unit. As for the crystal system: tetragonal. The total energy is -2.6710 eV/atom.